Record 1
This record from Alexandria describes crystalline Hf12CoPd6 at its relaxed geometry. The functional is GGA-PBE.

Output
D(E_F), states/eV per atom: 0.913
E_form, eV/f.u.: -1.966
Crystal system: trigonal

Cell: 7.6425 7.6425 7.6425 Å, 99.32 99.32 99.32°
Atoms (fractional coordinates):
Hf1 0.8184 0.5709 0.4189
Hf2 0.0673 0.9571 0.3123
Hf3 0.9571 0.3123 0.0673
Hf4 0.6877 0.9327 0.0429
Hf5 0.5709 0.4189 0.8184
Hf6 0.3123 0.0673 0.9571
Hf7 0.0429 0.6877 0.9327
Hf8 0.1816 0.4291 0.5811
Hf9 0.4291 0.5811 0.1816
Hf10 0.4189 0.8184 0.5709
Hf11 0.5811 0.1816 0.4291
Hf12 0.9327 0.0429 0.6877
Pd1 0.3784 0.6952 0.8671
Pd2 0.6216 0.3048 0.1329
Pd3 0.8671 0.3784 0.6952
Pd4 0.6952 0.8671 0.3784
Pd5 0.3048 0.1329 0.6216
Pd6 0.1329 0.6216 0.3048
Co1 0.0000 0.0000 0.0000


Record 2
This record from Alexandria describes crystalline Hf3Co2Pd at its relaxed geometry. The functional is GGA-PBE.

Output
D(E_F), states/eV per atom: 0.924
E_form, eV/f.u.: -2.821
Crystal system: tetragonal

Cell: 3.1399 3.1399 10.0304 Å, 90.00 90.00 90.00°
Atoms (fractional coordinates):
Co1 0.5000 0.5000 0.8434
Co2 0.5000 0.5000 0.1566
Hf1 0.0000 0.0000 0.0000
Hf2 0.0000 0.0000 0.3146
Hf3 0.0000 0.0000 0.6854
Pd1 0.5000 0.5000 0.5000


Record 3
This record from Alexandria describes crystalline Hf2CoPd at its relaxed geometry. The functional is GGA-PBE.

Output
D(E_F), states/eV per atom: 1.395
E_form, eV/f.u.: -0.232
Crystal system: tetragonal

Cell: 7.0729 7.0729 5.7669 Å, 52.18 52.18 90.00°
Atoms (fractional coordinates):
Pd1 0.0000 0.0000 0.0000
Pd2 0.7500 0.2500 0.5000
Hf1 0.6021 0.1250 0.2500
Hf2 0.1479 0.6250 0.2500
Hf3 0.3750 0.3979 0.7500
Hf4 0.8750 0.8521 0.7500
Co1 0.5000 0.5000 0.0000
Co2 0.2500 0.7500 0.5000


Among the records above, which one has the highest D(E_F)? Hf2CoPd


Among the records above, which one has the lowest E_form? Hf3Co2Pd


Which of these has the highest D(E_F)? Hf2CoPd